Computed, not measured: an optimized crystal structure of VCrRu3 at the PBE level of DFT.

## Properties
Magnetic moment (μB/cell): 1.8
D(E_F) (states/eV/cell): 4.292
ΔE_f (kJ/mol of formula units): 542
SG: Pm-3m
ΔE to the lowest computed polymorph (kJ/mol of atoms): 105.92

Lattice parameters (Å, degrees): 4.4319 4.4319 4.4319 90.00 90.00 90.00
Closest atoms and distances in Å follow each position.
Fractional coordinates of all 5 atoms:
V 0.0000 0.0000 0.0000  6 Ru 2.22
Ru 0.0000 0.5000 0.0000  2 V 2.22
Ru 0.5000 0.0000 0.0000  2 V 2.22
Ru 0.0000 0.0000 0.5000  2 V 2.22
Cr 0.5000 0.5000 0.5000  12 Ru 3.13


Computed, not measured: an optimized crystal structure of Ca2InTe at the PBE level of DFT.

## Properties
Magnetic moment (μB/cell): 0.0
D(E_F) (states/eV/cell): 1.425
SG: P4/mmm
ΔE to the lowest computed polymorph (kJ/mol of atoms): 0.00

Lattice parameters (Å, degrees): 3.9301 3.9349 8.6184 62.83 90.00 90.00
Closest atoms and distances in Å follow each position.
Fractional coordinates of all 4 atoms:
In 0.5000 0.2500 0.2500  8 Ca 3.41
Ca 0.0000 0.0076 0.9924  4 Te 3.34-3.35, 4 In 3.41, 1 Ca 3.72
Ca 0.0000 0.4924 0.5076  4 Te 3.34-3.35, 4 In 3.41, 1 Ca 3.72
Te 0.5000 0.7500 0.7500  8 Ca 3.34-3.35


These records have total energy values of -40.95; -13.28 eV/cell, in the order they appear.